# 1
Density functional theory data (PBE) for a relaxed structure of Pa2FeC4.

```
data_Pa2FeC4
_cell_length_a 7.3102
_cell_length_b 9.6965
_cell_length_c 5.0616
_cell_angle_alpha 90.00
_cell_angle_beta 90.00
_cell_angle_gamma 90.00
_space_group_name_H-M_alt 'I b a m'
_space_group_IT_number 72
_space_group_name_Hall '-I 2 2c'
loop_
_atom_site_label
_atom_site_fract_x
_atom_site_fract_y
_atom_site_fract_z
_atom_site_occupancy
Pa1 0.1771 0.1396 0.0000 1
Fe1 0.0000 0.5000 0.2500 1
C1 0.1454 0.1271 0.5000 1
C2 0.1638 0.4069 0.0000 1
```

Values from the calculation:
- E_form: -220 meV per atom
- Theoretical density: 10.48 g cm⁻³
- E: -9.412 eV/atom

=====

# 2
Density functional theory data (PBE) for a relaxed structure of PaFeC.

```
data_PaFeC
_cell_length_a 5.6127
_cell_length_b 3.4684
_cell_length_c 4.4371
_cell_angle_alpha 90.00
_cell_angle_beta 90.00
_cell_angle_gamma 90.00
_space_group_name_H-M_alt 'P m m a'
_space_group_IT_number 51
_space_group_name_Hall '-P 2a 2a'
loop_
_atom_site_label
_atom_site_fract_x
_atom_site_fract_y
_atom_site_fract_z
_atom_site_occupancy
Pa1 0.2500 0.0000 0.2283 1
Fe1 0.2500 0.5000 0.7722 1
C1 0.0000 0.5000 0.5000 1
```

Values from the calculation:
- E_form: -107 meV per atom
- Theoretical density: 11.49 g cm⁻³
- E: -9.168 eV/atom
- Relative energy among the computed polymorphs: 162 meV per atom

=====

# 3
Density functional theory data (PBE) for a relaxed structure of PaFe2C3.

```
data_PaFe2C3
_cell_length_a 5.0490
_cell_length_b 4.7737
_cell_length_c 5.8551
_cell_angle_alpha 90.00
_cell_angle_beta 107.88
_cell_angle_gamma 90.00
_space_group_name_H-M_alt 'P 1 21/m 1'
_space_group_IT_number 11
_space_group_name_Hall '-P 2yb'
loop_
_atom_site_label
_atom_site_fract_x
_atom_site_fract_y
_atom_site_fract_z
_atom_site_occupancy
Pa1 0.2139 0.2500 0.2975 1
Fe1 0.3226 0.0035 0.8066 1
C1 0.0176 0.2500 0.6709 1
C2 0.2192 0.7500 0.5344 1
C3 0.3622 0.7500 0.0627 1
```

Values from the calculation:
- E_form: -47 meV per atom
- Theoretical density: 9.37 g cm⁻³
- E: -9.063 eV/atom

=====

# 4
Density functional theory data (PBE) for a relaxed structure of PaFeC.

```
data_PaFeC
_cell_length_a 3.5243
_cell_length_b 3.5243
_cell_length_c 3.7592
_cell_angle_alpha 90.00
_cell_angle_beta 90.00
_cell_angle_gamma 120.00
_space_group_name_H-M_alt 'P -6 m 2'
_space_group_IT_number 187
_space_group_name_Hall 'P -6 2'
loop_
_atom_site_label
_atom_site_fract_x
_atom_site_fract_y
_atom_site_fract_z
_atom_site_occupancy
Pa1 0.0000 0.0000 0.0000 1
Fe1 0.6667 0.3333 0.5000 1
C1 0.3333 0.6667 0.5000 1
```

Values from the calculation:
- E_form: -122 meV per atom
- Theoretical density: 12.27 g cm⁻³
- E: -9.182 eV/atom
- Relative energy among the computed polymorphs: 148 meV per atom

=====

# 5
Density functional theory data (PBE) for a relaxed structure of PaFeC.

```
data_PaFeC
_cell_length_a 3.7756
_cell_length_b 9.0315
_cell_length_c 5.1093
_cell_angle_alpha 90.00
_cell_angle_beta 90.00
_cell_angle_gamma 90.00
_space_group_name_H-M_alt 'C m c m'
_space_group_IT_number 63
_space_group_name_Hall '-C 2c 2'
loop_
_atom_site_label
_atom_site_fract_x
_atom_site_fract_y
_atom_site_fract_z
_atom_site_occupancy
Pa1 0.0000 0.1467 0.2500 1
Fe1 0.0000 0.4092 0.2500 1
C1 0.0000 0.1278 0.7500 1
```

Values from the calculation:
- E_form: -269 meV per atom
- Theoretical density: 11.39 g cm⁻³
- E: -9.330 eV/atom
- Relative energy among the computed polymorphs: 0 meV per atom

=====

# 6
Density functional theory data (PBE) for a relaxed structure of PaFeC.

```
data_PaFeC
_cell_length_a 3.0762
_cell_length_b 3.0762
_cell_length_c 11.4756
_cell_angle_alpha 90.00
_cell_angle_beta 90.00
_cell_angle_gamma 90.00
_space_group_name_H-M_alt 'I 4 m m'
_space_group_IT_number 107
_space_group_name_Hall 'I 4 -2'
loop_
_atom_site_label
_atom_site_fract_x
_atom_site_fract_y
_atom_site_fract_z
_atom_site_occupancy
Pa1 0.0000 0.0000 0.0000 1
Fe1 0.0000 0.0000 0.6508 1
C1 0.0000 0.0000 0.7983 1
```

Values from the calculation:
- E_form: 1243 meV per atom
- Theoretical density: 9.14 g cm⁻³
- E: -7.818 eV/atom
- Relative energy among the computed polymorphs: 1512 meV per atom

=====

# 7
Density functional theory data (PBE) for a relaxed structure of PaFeSiC.

```
data_PaFeSiC
_cell_length_a 3.7100
_cell_length_b 3.7100
_cell_length_c 8.3349
_cell_angle_alpha 90.00
_cell_angle_beta 90.00
_cell_angle_gamma 90.00
_space_group_name_H-M_alt 'P 4/n m m'
_space_group_IT_number 129
loop_
_space_group_symop_operation_xyz
'x,y,z'
'-x,-y,-z'
'-y+1/2,x,z'
'y+1/2,-x,-z'
'-x+1/2,-y+1/2,z'
'x+1/2,y+1/2,-z'
'y,-x+1/2,z'
'-y,x+1/2,-z'
'x+1/2,-y,-z'
'-x+1/2,y,z'
'-y,-x,-z'
'y,x,z'
'-x,y+1/2,-z'
'x,-y+1/2,z'
'y+1/2,x+1/2,-z'
'-y+1/2,-x+1/2,z'
loop_
_atom_site_label
_atom_site_fract_x
_atom_site_fract_y
_atom_site_fract_z
_atom_site_occupancy
Pa1 0.2500 0.2500 0.1623 1
Fe1 0.2500 0.7500 0.5000 1
Si1 0.2500 0.2500 0.6573 1
C1 0.2500 0.2500 0.8826 1
```

Values from the calculation:
- Theoretical density: 9.47 g cm⁻³
- E: -8.670 eV/atom
- Energy relative to the elements, uncorrected: -0.52 eV per atom

=====

# 8
Density functional theory data (PBE) for a relaxed structure of Pa2FeSiC.

```
data_Pa2FeSiC
_cell_length_a 6.2095
_cell_length_b 3.9783
_cell_length_c 7.7177
_cell_angle_alpha 90.00
_cell_angle_beta 113.13
_cell_angle_gamma 90.00
_space_group_name_H-M_alt 'P 1 21/m 1'
_space_group_IT_number 11
_space_group_name_Hall '-P 2yb'
loop_
_atom_site_label
_atom_site_fract_x
_atom_site_fract_y
_atom_site_fract_z
_atom_site_occupancy
Pa1 0.2306 0.2500 0.4836 1
Pa2 0.2382 0.2500 0.9064 1
Fe1 0.4873 0.2500 0.2184 1
Si1 0.2862 0.7500 0.2155 1
C1 0.1706 0.7500 0.6821 1
```

Values from the calculation:
- Theoretical density: 10.57 g cm⁻³
- E: -8.898 eV/atom
- Energy relative to the elements, uncorrected: -0.48 eV per atom

=====

# 9
Density functional theory data (PBE) for a relaxed structure of Pa2Fe2Si2C.

```
data_Pa2Fe2Si2C
_cell_length_a 10.4707
_cell_length_b 3.9021
_cell_length_c 6.8886
_cell_angle_alpha 90.00
_cell_angle_beta 129.88
_cell_angle_gamma 90.00
_space_group_name_H-M_alt 'C 1 2/m 1'
_space_group_IT_number 12
_space_group_name_Hall '-C 2y'
loop_
_atom_site_label
_atom_site_fract_x
_atom_site_fract_y
_atom_site_fract_z
_atom_site_occupancy
Pa1 0.0565 0.0000 0.3192 1
Fe1 0.1975 0.5000 0.8153 1
Si1 0.1629 0.5000 0.1230 1
C1 0.0000 0.5000 0.5000 1
```

Values from the calculation:
- Theoretical density: 9.87 g cm⁻³
- E: -8.605 eV/atom
- Energy relative to the elements, uncorrected: -0.61 eV per atom

=====

# 10
Density functional theory data (PBE) for a relaxed structure of Pa2Fe4Sn2C.

```
data_Pa2Fe4Sn2C
_cell_length_a 6.4318
_cell_length_b 6.4318
_cell_length_c 7.3689
_cell_angle_alpha 90.00
_cell_angle_beta 90.00
_cell_angle_gamma 90.00
_space_group_name_H-M_alt 'I 4/m m m'
_space_group_IT_number 139
_space_group_name_Hall '-I 4 2'
loop_
_atom_site_label
_atom_site_fract_x
_atom_site_fract_y
_atom_site_fract_z
_atom_site_occupancy
Pa1 0.0000 0.0000 0.1864 1
Fe1 0.2143 0.2143 0.5000 1
Sn1 0.0000 0.5000 0.2500 1
C1 0.0000 0.0000 0.5000 1
```

Values from the calculation:
- E_form: 97 meV per atom
- Theoretical density: 10.19 g cm⁻³
- E: -7.689 eV/atom

=====

# 11
Density functional theory data (PBE) for a relaxed structure of Pa2FeSnC.

```
data_Pa2FeSnC
_cell_length_a 7.1713
_cell_length_b 3.7052
_cell_length_c 7.9109
_cell_angle_alpha 90.00
_cell_angle_beta 109.70
_cell_angle_gamma 90.00
_space_group_name_H-M_alt 'P 1 21/m 1'
_space_group_IT_number 11
_space_group_name_Hall '-P 2yb'
loop_
_atom_site_label
_atom_site_fract_x
_atom_site_fract_y
_atom_site_fract_z
_atom_site_occupancy
Pa1 0.1562 0.2500 0.4094 1
Pa2 0.2098 0.7500 0.9970 1
Fe1 0.1894 0.2500 0.6997 1
Sn1 0.4644 0.7500 0.7230 1
C1 0.0163 0.7500 0.1850 1
```

Values from the calculation:
- E_form: -321 meV per atom
- Theoretical density: 10.89 g cm⁻³
- E: -8.458 eV/atom

=====

# 12
Density functional theory data (PBE) for a relaxed structure of Th2PaFeC4.

```
data_Th2PaFeC4
_cell_length_a 3.5546
_cell_length_b 11.5844
_cell_length_c 12.2167
_cell_angle_alpha 90.00
_cell_angle_beta 90.00
_cell_angle_gamma 90.00
_space_group_name_H-M_alt 'C m c m'
_space_group_IT_number 63
_space_group_name_Hall '-C 2c 2'
loop_
_atom_site_label
_atom_site_fract_x
_atom_site_fract_y
_atom_site_fract_z
_atom_site_occupancy
Th1 0.0000 0.1378 0.0495 1
Pa1 0.0000 0.4048 0.2500 1
Fe1 0.0000 0.3368 0.7500 1
C1 0.0000 0.0689 0.2500 1
C2 0.0000 0.2194 0.6474 1
C3 0.0000 0.5000 0.0000 1
```

Values from the calculation:
- E_form: -5 meV per atom
- Theoretical density: 10.55 g cm⁻³
- E: -8.717 eV/atom

=====

# 13
Density functional theory data (PBE) for a relaxed structure of Fe2PbC.

```
data_Fe2PbC
_cell_length_a 5.8990
_cell_length_b 5.8990
_cell_length_c 5.8990
_cell_angle_alpha 90.00
_cell_angle_beta 90.00
_cell_angle_gamma 90.00
_space_group_name_H-M_alt 'F m -3 m'
_space_group_IT_number 225
_space_group_name_Hall '-F 4 2 3'
loop_
_atom_site_label
_atom_site_fract_x
_atom_site_fract_y
_atom_site_fract_z
_atom_site_occupancy
Fe1 0.2500 0.2500 0.2500 1
Pb1 0.0000 0.0000 0.0000 1
C1 0.0000 0.0000 0.5000 1
```

Values from the calculation:
- E_form: 1714 meV per atom
- Theoretical density: 10.71 g cm⁻³
- E: -5.750 eV/atom

=====

# 14
Density functional theory data (PBE) for a relaxed structure of FePbC3.

```
data_FePbC3
_cell_length_a 3.9092
_cell_length_b 3.9092
_cell_length_c 3.9092
_cell_angle_alpha 90.00
_cell_angle_beta 90.00
_cell_angle_gamma 90.00
_space_group_name_H-M_alt 'P m -3 m'
_space_group_IT_number 221
_space_group_name_Hall '-P 4 2 3'
loop_
_atom_site_label
_atom_site_fract_x
_atom_site_fract_y
_atom_site_fract_z
_atom_site_occupancy
Fe1 0.0000 0.0000 0.0000 1
Pb1 0.5000 0.5000 0.5000 1
C1 0.0000 0.0000 0.5000 1
```

Values from the calculation:
- E_form: 1924 meV per atom
- Theoretical density: 8.31 g cm⁻³
- E: -6.045 eV/atom
- Relative energy among the computed polymorphs: 0 meV per atom

=====

# 15
Density functional theory data (PBE) for a relaxed structure of Fe2PbC.

```
data_Fe2PbC
_cell_length_a 5.2746
_cell_length_b 5.2746
_cell_length_c 9.0720
_cell_angle_alpha 90.00
_cell_angle_beta 90.00
_cell_angle_gamma 90.00
_space_group_name_H-M_alt 'I -4 2 d'
_space_group_IT_number 122
_space_group_name_Hall 'I -4 2bw'
loop_
_atom_site_label
_atom_site_fract_x
_atom_site_fract_y
_atom_site_fract_z
_atom_site_occupancy
Fe1 0.1013 0.2500 0.1250 1
Pb1 0.0000 0.0000 0.5000 1
C1 0.0000 0.0000 0.0000 1
```

Values from the calculation:
- E_form: 699 meV per atom
- Theoretical density: 8.71 g cm⁻³
- E: -6.765 eV/atom

=====

# 16
Density functional theory data (PBE) for a relaxed structure of FePbC3.

```
data_FePbC3
_cell_length_a 4.3715
_cell_length_b 4.3715
_cell_length_c 4.3715
_cell_angle_alpha 90.00
_cell_angle_beta 90.00
_cell_angle_gamma 90.00
_space_group_name_H-M_alt 'P m -3 m'
_space_group_IT_number 221
_space_group_name_Hall '-P 4 2 3'
loop_
_atom_site_label
_atom_site_fract_x
_atom_site_fract_y
_atom_site_fract_z
_atom_site_occupancy
Fe1 0.0000 0.0000 0.0000 1
Pb1 0.5000 0.5000 0.5000 1
C1 0.0000 0.5000 0.5000 1
```

Values from the calculation:
- E_form: 3943 meV per atom
- Theoretical density: 5.94 g cm⁻³
- E: -4.025 eV/atom
- Relative energy among the computed polymorphs: 2020 meV per atom

=====

# 17
Density functional theory data (PBE) for a relaxed structure of FePb2C.

```
data_FePb2C
_cell_length_a 6.4011
_cell_length_b 6.4011
_cell_length_c 8.7457
_cell_angle_alpha 90.00
_cell_angle_beta 90.00
_cell_angle_gamma 90.00
_space_group_name_H-M_alt 'I -4 2 d'
_space_group_IT_number 122
_space_group_name_Hall 'I -4 2bw'
loop_
_atom_site_label
_atom_site_fract_x
_atom_site_fract_y
_atom_site_fract_z
_atom_site_occupancy
Fe1 0.0000 0.0000 0.0000 1
Pb1 0.1997 0.7500 0.6250 1
C1 0.0000 0.0000 0.5000 1
```

Values from the calculation:
- E_form: 1383 meV per atom
- Theoretical density: 8.94 g cm⁻³
- E: -4.893 eV/atom

=====

# 18
Density functional theory data (PBE) for a relaxed structure of Fe2RuPbC.

```
data_Fe2RuPbC
_cell_length_a 4.9197
_cell_length_b 4.9197
_cell_length_c 4.2328
_cell_angle_alpha 90.00
_cell_angle_beta 90.00
_cell_angle_gamma 90.00
_space_group_name_H-M_alt 'P 4/m m m'
_space_group_IT_number 123
_space_group_name_Hall '-P 4 2'
loop_
_atom_site_label
_atom_site_fract_x
_atom_site_fract_y
_atom_site_fract_z
_atom_site_occupancy
Fe1 0.0000 0.5000 0.0000 1
Ru1 0.0000 0.0000 0.5000 1
Pb1 0.5000 0.5000 0.0000 1
C1 0.5000 0.5000 0.5000 1
```

Values from the calculation:
- E_form: 2678 meV per atom
- Theoretical density: 7.00 g cm⁻³
- E: -5.149 eV/atom

=====

# 19
Density functional theory data (PBE) for a relaxed structure of FeSn2PbC.

```
data_FeSn2PbC
_cell_length_a 5.3367
_cell_length_b 5.3367
_cell_length_c 3.6347
_cell_angle_alpha 90.00
_cell_angle_beta 90.00
_cell_angle_gamma 90.00
_space_group_name_H-M_alt 'P 4/m m m'
_space_group_IT_number 123
_space_group_name_Hall '-P 4 2'
loop_
_atom_site_label
_atom_site_fract_x
_atom_site_fract_y
_atom_site_fract_z
_atom_site_occupancy
Fe1 0.0000 0.0000 0.0000 1
Sn1 0.0000 0.5000 0.0000 1
Pb1 0.5000 0.5000 0.5000 1
C1 0.0000 0.0000 0.5000 1
```

Values from the calculation:
- E_form: 594 meV per atom
- Theoretical density: 8.22 g cm⁻³
- E: -5.286 eV/atom

=====

# 20
Density functional theory data (PBE) for a relaxed structure of Y2FePbC.

```
data_Y2FePbC
_cell_length_a 5.1009
_cell_length_b 5.1009
_cell_length_c 3.8225
_cell_angle_alpha 90.00
_cell_angle_beta 90.00
_cell_angle_gamma 90.00
_space_group_name_H-M_alt 'P 4/m m m'
_space_group_IT_number 123
_space_group_name_Hall '-P 4 2'
loop_
_atom_site_label
_atom_site_fract_x
_atom_site_fract_y
_atom_site_fract_z
_atom_site_occupancy
Y1 0.0000 0.5000 0.0000 1
Fe1 0.0000 0.0000 0.5000 1
Pb1 0.5000 0.5000 0.5000 1
C1 0.0000 0.0000 0.0000 1
```

Values from the calculation:
- E_form: -302 meV per atom
- Theoretical density: 7.56 g cm⁻³
- E: -7.166 eV/atom

=====

Q: Which magnetization values were calculated for the entries above? A: 0.072; 0.000; 0.000; 0.000; 0.000; 0.176; 0.319; 0.000; 0.000; 0.775; 0.000; 0.000; 0.000; 0.000; 0.626; 0.114; 0.681; 1.627; 0.159; 0.299, in μB per atom.